(i)
! Ga2PdI4Cl4 GGA-PBE optimized geometry; values from VASP
&SYSTEM
  ibrav = 0, nat = 11, ntyp = 4
/
ATOMIC_SPECIES
Ga 69.72 Ga.upf
Cl 35.45 Cl.upf
I 126.90 I.upf
Pd 106.42 Pd.upf
ATOMIC_POSITIONS angstrom
Ga -10.840 2.612 1.214
Ga -3.136 1.504 1.289
Cl -5.170 1.267 0.606
Cl -2.943 2.835 2.993
Cl -11.033 1.281 -0.491
Cl -8.805 2.849 1.897
I -6.194 1.781 5.125
I -8.375 -1.578 0.501
I -7.781 2.335 -2.622
I -5.601 5.695 2.001
Pd 0.000 0.000 0.000
CELL_PARAMETERS angstrom
-5.903 3.121 -4.303
-6.937 -3.698 1.139
-1.136 4.694 5.666
! Space group: No. 12

---

(ii)
! Ga2PdI4Cl4 GGA-PBE optimized geometry; values from VASP
&SYSTEM
  ibrav = 0, nat = 11, ntyp = 4
/
ATOMIC_SPECIES
Ga 69.72 Ga.upf
Cl 35.45 Cl.upf
Pd 106.42 Pd.upf
I 126.90 I.upf
ATOMIC_POSITIONS angstrom
Ga 9.984 0.000 4.987
Ga 2.321 0.000 2.432
Cl 4.111 2.783 6.327
Cl 4.111 -2.783 6.327
Cl 8.194 -2.783 1.093
Cl 8.194 2.783 1.093
Pd 0.000 0.000 0.000
I 1.350 0.000 4.743
I 7.512 0.000 5.271
I 10.954 0.000 2.676
I 4.792 0.000 2.149
CELL_PARAMETERS angstrom
6.916 -4.397 0.000
6.916 4.397 0.000
-1.528 0.000 7.419
! Space group: No. 12

---

Which structure is the least stable? The one labeled (ii).

---

(i)
! HgCl GGA-PBE optimized geometry; values from VASP
&SYSTEM
  ibrav = 0, nat = 4, ntyp = 2
/
ATOMIC_SPECIES
Hg 200.59 Hg.upf
Cl 35.45 Cl.upf
ATOMIC_POSITIONS angstrom
Hg 0.000 0.000 9.714
Hg 0.000 0.000 1.300
Cl 0.000 0.000 7.262
Cl 0.000 0.000 3.754
CELL_PARAMETERS angstrom
-2.318 2.318 5.508
2.318 -2.318 5.508
2.318 2.318 -5.508
! Space group: No. 139

---

(ii)
! HgCl GGA-PBE optimized geometry; values from VASP
&SYSTEM
  ibrav = 0, nat = 2, ntyp = 2
/
ATOMIC_SPECIES
Hg 200.59 Hg.upf
Cl 35.45 Cl.upf
ATOMIC_POSITIONS angstrom
Hg 1.647 1.647 1.647
Cl 0.000 0.000 0.000
CELL_PARAMETERS angstrom
0.000 3.295 3.295
3.295 0.000 3.295
3.295 3.295 0.000
! Space group: No. 216

---

(iii)
! HgCl GGA-PBE optimized geometry; values from VASP
&SYSTEM
  ibrav = 0, nat = 2, ntyp = 2
/
ATOMIC_SPECIES
Cl 35.45 Cl.upf
Hg 200.59 Hg.upf
ATOMIC_POSITIONS angstrom
Cl 0.000 0.000 0.000
Hg 3.004 3.004 3.004
CELL_PARAMETERS angstrom
0.000 3.004 3.004
3.004 0.000 3.004
3.004 3.004 0.000
! Space group: No. 225

---

Which structure is the least stable? The one labeled (ii).

---

(i)
! HgCl GGA-PBE optimized geometry; values from VASP
&SYSTEM
  ibrav = 0, nat = 2, ntyp = 2
/
ATOMIC_SPECIES
Hg 200.59 Hg.upf
Cl 35.45 Cl.upf
ATOMIC_POSITIONS angstrom
Hg 0.000 0.000 5.431
Cl 0.000 0.000 0.000
CELL_PARAMETERS angstrom
2.056 1.187 3.621
-2.056 1.187 3.621
0.000 -2.374 3.621
! Space group: No. 166

---

(ii)
! HgCl GGA-PBE optimized geometry; values from VASP
&SYSTEM
  ibrav = 0, nat = 2, ntyp = 2
/
ATOMIC_SPECIES
Cl 35.45 Cl.upf
Hg 200.59 Hg.upf
ATOMIC_POSITIONS angstrom
Cl 1.959 1.131 2.977
Hg 0.000 2.262 0.992
CELL_PARAMETERS angstrom
3.919 0.000 0.000
-1.959 3.394 0.000
0.000 0.000 3.970
! Space group: No. 187

---

Which structure is the least stable? The one labeled (ii).

---

(i)
! Hg2Cl GGA-PBE optimized geometry; values from VASP
&SYSTEM
  ibrav = 0, nat = 6, ntyp = 2
/
ATOMIC_SPECIES
Hg 200.59 Hg.upf
Cl 35.45 Cl.upf
ATOMIC_POSITIONS angstrom
Hg -5.898 -6.642 0.240
Hg -9.677 -8.483 2.632
Hg -9.447 -8.861 -2.184
Hg -6.436 -11.436 0.590
Cl -7.865 -8.855 0.319
Cl -3.932 -4.428 0.160
CELL_PARAMETERS angstrom
-7.097 -4.439 -4.848
-1.074 -9.588 0.701
-7.557 -3.683 4.785
! Space group: No. 227

---

(ii)
! Hg2Cl GGA-PBE optimized geometry; values from VASP
&SYSTEM
  ibrav = 0, nat = 6, ntyp = 2
/
ATOMIC_SPECIES
Cl 35.45 Cl.upf
Hg 200.59 Hg.upf
ATOMIC_POSITIONS angstrom
Cl 0.000 0.000 0.000
Cl 2.122 2.122 2.122
Hg 5.306 3.184 3.184
Hg 5.306 5.306 5.306
Hg 3.184 3.184 5.306
Hg 3.184 5.306 3.184
CELL_PARAMETERS angstrom
0.000 4.245 4.245
4.245 0.000 4.245
4.245 4.245 0.000
! Space group: No. 227

---

Which structure is the least stable? The one labeled (i).

---

(i)
! Hg2ClO GGA-PBE optimized geometry; values from VASP
&SYSTEM
  ibrav = 0, nat = 16, ntyp = 3
/
ATOMIC_SPECIES
Hg 200.59 Hg.upf
Cl 35.45 Cl.upf
O 16.00 O.upf
ATOMIC_POSITIONS angstrom
Hg -1.300 -4.092 3.786
Hg 6.033 -2.769 6.859
Hg 0.971 -4.937 4.866
Hg 0.046 -1.969 5.873
Hg 3.762 -1.924 5.779
Hg 4.687 -4.892 4.772
Hg -1.122 -0.076 3.320
Hg 3.489 -3.355 2.003
Cl 0.267 -2.166 1.347
Cl 5.260 -0.832 2.833
Cl -0.526 -6.029 7.812
Cl 4.467 -4.695 9.298
O -1.628 -1.429 4.770
O 3.045 -3.961 3.907
O 1.688 -2.900 6.738
O 6.361 -5.432 5.875
CELL_PARAMETERS angstrom
-2.244 -0.151 6.640
-2.689 -5.525 3.374
9.667 -1.184 0.631
! Space group: No. 15

---

(ii)
! Hg2ClO GGA-PBE optimized geometry; values from VASP
&SYSTEM
  ibrav = 0, nat = 16, ntyp = 3
/
ATOMIC_SPECIES
Hg 200.59 Hg.upf
O 16.00 O.upf
Cl 35.45 Cl.upf
ATOMIC_POSITIONS angstrom
Hg 0.381 -1.184 -3.688
Hg -1.763 1.513 -4.656
Hg -3.907 -1.842 -5.624
Hg -5.186 1.842 -0.978
Hg 1.659 -4.867 -8.334
Hg -4.166 0.570 -6.989
Hg -3.042 -1.513 -0.011
Hg 0.639 -3.596 -2.323
O 1.451 -1.057 -8.736
O -4.977 -1.969 -0.575
O 0.172 -4.994 -4.091
O -3.699 1.969 -5.221
Cl -1.537 1.228 -7.961
Cl -2.816 -1.228 -3.316
Cl -1.989 -4.253 -1.351
Cl -0.711 -1.797 -5.996
CELL_PARAMETERS angstrom
0.000 -6.051 0.000
-6.083 3.025 -0.021
2.557 0.000 -9.290
! Space group: No. 15

---

Which structure is the least stable? The one labeled (i).

---

(i)
! Ho2Cl GGA-PBE optimized geometry; values from VASP
&SYSTEM
  ibrav = 0, nat = 6, ntyp = 2
/
ATOMIC_SPECIES
Ho 164.93 Ho.upf
Cl 35.45 Cl.upf
ATOMIC_POSITIONS angstrom
Ho 5.766 3.460 3.460
Ho 5.766 5.766 5.766
Ho 3.460 5.766 3.460
Ho 3.460 3.460 5.766
Cl 2.307 2.307 2.307
Cl 0.000 0.000 0.000
CELL_PARAMETERS angstrom
0.000 4.613 4.613
4.613 0.000 4.613
4.613 4.613 0.000
! Space group: No. 227
! Size of the total moment (μB/cell): 0.0

---

(ii)
! Ho2Cl GGA-PBE optimized geometry; values from VASP
&SYSTEM
  ibrav = 0, nat = 3, ntyp = 2
/
ATOMIC_SPECIES
Cl 35.45 Cl.upf
Ho 164.93 Ho.upf
ATOMIC_POSITIONS angstrom
Cl 0.000 0.000 0.000
Ho -4.640 -1.560 0.546
Ho -3.421 2.629 -1.714
CELL_PARAMETERS angstrom
-1.115 3.371 0.073
-0.896 1.639 -3.020
-6.050 -3.941 1.779
! Space group: No. 12
! Size of the total moment (μB/cell): 0.1

---

Which structure is the least stable? The one labeled (i).